No. 1
The following is a GGA-PBE calculation of crystalline Pm6Pr2DyY at its relaxed geometry, from Alexandria.

## Properties
calculated formation energy	0.112	eV per atom

Unit cell a=8.9673 b=8.9673 c=9.9127 alpha=94.60 beta=94.60 gamma=118.43
With the nearest neighbours (Å) after each atom.
Positions (direct):
Pm (0.0199, 0.5762, 0.1878)  4 Pm 3.32-3.72, 1 Pr 3.46, 1 Y 3.51, 1 Dy 3.64
Pm (0.1230, 0.7501, 0.5556)  7 Pm 3.45-3.85, 1 Pr 3.54, 1 Dy 3.70
Pm (0.2499, 0.8770, 0.9444)  7 Pm 3.45-3.85, 1 Pr 3.54, 1 Dy 3.70
Pm (0.2913, 0.5004, 0.3793)  3 Pr 3.30-3.52, 4 Pm 3.32-3.65, 2 Y 3.49-3.65
Pm (0.4238, 0.9801, 0.3122)  4 Pm 3.32-3.72, 1 Pr 3.46, 1 Y 3.51, 1 Dy 3.64
Pm (0.5004, 0.2913, 0.8793)  3 Pr 3.30-3.52, 4 Pm 3.32-3.65, 2 Y 3.49-3.65
Pm (0.4996, 0.7087, 0.1207)  3 Pr 3.30-3.52, 4 Pm 3.32-3.65, 2 Y 3.49-3.65
Pm (0.5762, 0.0199, 0.6878)  4 Pm 3.32-3.72, 1 Pr 3.46, 1 Y 3.51, 1 Dy 3.64
Pm (0.7087, 0.4996, 0.6207)  3 Pr 3.30-3.52, 4 Pm 3.32-3.65, 2 Y 3.49-3.65
Pm (0.7501, 0.1230, 0.0556)  7 Pm 3.45-3.85, 1 Pr 3.54, 1 Dy 3.70
Pm (0.8770, 0.2499, 0.4444)  7 Pm 3.45-3.85, 1 Pr 3.54, 1 Dy 3.70
Pm (0.9801, 0.4238, 0.8122)  4 Pm 3.32-3.72, 1 Pr 3.46, 1 Y 3.51, 1 Dy 3.64
Pr (0.1941, 0.2956, 0.0411)  5 Pm 3.30-3.54, 2 Dy 3.40-3.45, 1 Y 3.63
Pr (0.2956, 0.1941, 0.5411)  5 Pm 3.30-3.54, 2 Dy 3.40-3.45, 1 Y 3.63
Pr (0.7044, 0.8059, 0.4589)  5 Pm 3.30-3.54, 2 Dy 3.40-3.45, 1 Y 3.63
Pr (0.8059, 0.7044, 0.9589)  5 Pm 3.30-3.54, 2 Dy 3.40-3.45, 1 Y 3.63
Dy (0.0186, 0.9814, 0.2500)  4 Pr 3.40-3.45, 4 Pm 3.64-3.70
Dy (0.9814, 0.0186, 0.7500)  4 Pr 3.40-3.45, 4 Pm 3.64-3.70
Y (0.4070, 0.5930, 0.7500)  8 Pm 3.49-3.90, 2 Pr 3.63
Y (0.5930, 0.4070, 0.2500)  8 Pm 3.49-3.90, 2 Pr 3.63

---

No. 2
The following is a GGA-PBE calculation of crystalline Pm6PrDyY2 at its relaxed geometry, from Alexandria.

## Properties
calculated formation energy	0.119	eV per atom

Unit cell a=8.9588 b=8.9588 c=9.6827 alpha=93.72 beta=93.72 gamma=117.23
With the nearest neighbours (Å) after each atom.
Positions (direct):
Pm (0.0177, 0.5663, 0.1839)  2 Pm 3.25-3.63, 1 Y 3.51, 1 Pr 3.52, 1 Dy 3.56
Pm (0.1120, 0.7596, 0.5567)  7 Pm 3.45-3.80, 1 Y 3.50, 2 Dy 3.70-3.81
Pm (0.2404, 0.8880, 0.9433)  7 Pm 3.45-3.80, 1 Y 3.50, 2 Dy 3.70-3.81
Pm (0.2941, 0.5135, 0.3810)  3 Pm 3.25-3.45, 3 Y 3.35-3.51, 2 Pr 3.52-3.58
Pm (0.4337, 0.9823, 0.3161)  2 Pm 3.25-3.63, 1 Y 3.51, 1 Pr 3.52, 1 Dy 3.56
Pm (0.4865, 0.7059, 0.1190)  3 Pm 3.25-3.45, 3 Y 3.35-3.51, 2 Pr 3.52-3.58
Pm (0.5135, 0.2941, 0.8810)  3 Pm 3.25-3.45, 3 Y 3.35-3.51, 2 Pr 3.52-3.58
Pm (0.5663, 0.0177, 0.6839)  2 Pm 3.25-3.63, 1 Y 3.51, 1 Pr 3.52, 1 Dy 3.56
Pm (0.7059, 0.4865, 0.6190)  3 Pm 3.25-3.45, 3 Y 3.35-3.51, 2 Pr 3.52-3.58
Pm (0.7596, 0.1120, 0.0567)  7 Pm 3.45-3.80, 1 Y 3.50, 2 Dy 3.70-3.81
Pm (0.8880, 0.2404, 0.4433)  7 Pm 3.45-3.80, 1 Y 3.50, 2 Dy 3.70-3.81
Pm (0.9823, 0.4337, 0.8161)  2 Pm 3.25-3.63, 1 Y 3.51, 1 Pr 3.52, 1 Dy 3.56
Pr (0.4065, 0.5935, 0.7500)  6 Pm 3.52-3.58, 2 Y 3.61
Pr (0.5935, 0.4065, 0.2500)  6 Pm 3.52-3.58, 2 Y 3.61
Dy (0.0316, 0.9684, 0.2500)  4 Y 3.42-3.45, 6 Pm 3.56-3.81
Dy (0.9684, 0.0316, 0.7500)  4 Y 3.42-3.45, 6 Pm 3.56-3.81
Y (0.1969, 0.2928, 0.0472)  6 Pm 3.35-3.71, 2 Dy 3.42-3.45, 1 Pr 3.61
Y (0.2928, 0.1969, 0.5472)  6 Pm 3.35-3.71, 2 Dy 3.42-3.45, 1 Pr 3.61
Y (0.7072, 0.8031, 0.4528)  6 Pm 3.35-3.71, 2 Dy 3.42-3.45, 1 Pr 3.61
Y (0.8031, 0.7072, 0.9528)  6 Pm 3.35-3.71, 2 Dy 3.42-3.45, 1 Pr 3.61

---

No. 3
The following is a GGA-PBE calculation of crystalline Pm2PrDy6Y at its relaxed geometry, from Alexandria.

## Properties
calculated formation energy	0.114	eV per atom

Unit cell a=8.8318 b=8.8318 c=9.7167 alpha=94.28 beta=94.28 gamma=118.21
With the nearest neighbours (Å) after each atom.
Positions (direct):
Pm (0.1958, 0.2992, 0.0432)  6 Dy 3.28-3.65, 2 Pr 3.40, 1 Y 3.57
Pm (0.2992, 0.1958, 0.5432)  6 Dy 3.28-3.65, 2 Pr 3.40, 1 Y 3.57
Pm (0.7008, 0.8042, 0.4568)  6 Dy 3.28-3.65, 2 Pr 3.40, 1 Y 3.57
Pm (0.8042, 0.7008, 0.9568)  6 Dy 3.28-3.65, 2 Pr 3.40, 1 Y 3.57
Pr (0.0201, 0.9799, 0.2500)  4 Pm 3.40, 4 Dy 3.63-3.70
Pr (0.9799, 0.0201, 0.7500)  4 Pm 3.40, 4 Dy 3.63-3.70
Dy (0.0212, 0.5706, 0.1845)  2 Dy 3.23-3.58, 1 Pm 3.42, 1 Y 3.49
Dy (0.1230, 0.7429, 0.5570)  8 Dy 3.41-3.80, 1 Pm 3.56, 1 Pr 3.70, 1 Y 3.80
Dy (0.2571, 0.8770, 0.9430)  8 Dy 3.41-3.80, 1 Pm 3.56, 1 Pr 3.70, 1 Y 3.80
Dy (0.2935, 0.5073, 0.3802)  4 Dy 3.23-3.52, 3 Pm 3.28-3.47, 2 Y 3.45-3.58
Dy (0.4294, 0.9788, 0.3155)  2 Dy 3.23-3.58, 1 Pm 3.42, 1 Y 3.49
Dy (0.4927, 0.7065, 0.1198)  4 Dy 3.23-3.52, 3 Pm 3.28-3.47, 2 Y 3.45-3.58
Dy (0.5073, 0.2935, 0.8802)  4 Dy 3.23-3.52, 3 Pm 3.28-3.47, 2 Y 3.45-3.58
Dy (0.5706, 0.0212, 0.6845)  2 Dy 3.23-3.58, 1 Pm 3.42, 1 Y 3.49
Dy (0.7065, 0.4927, 0.6198)  4 Dy 3.23-3.52, 3 Pm 3.28-3.47, 2 Y 3.45-3.58
Dy (0.7429, 0.1230, 0.0570)  8 Dy 3.41-3.80, 1 Pm 3.56, 1 Pr 3.70, 1 Y 3.80
Dy (0.8770, 0.2571, 0.4430)  8 Dy 3.41-3.80, 1 Pm 3.56, 1 Pr 3.70, 1 Y 3.80
Dy (0.9788, 0.4294, 0.8155)  2 Dy 3.23-3.58, 1 Pm 3.42, 1 Y 3.49
Y (0.4076, 0.5924, 0.7500)  8 Dy 3.45-3.80, 2 Pm 3.57
Y (0.5924, 0.4076, 0.2500)  8 Dy 3.45-3.80, 2 Pm 3.57

---

No. 4
The following is a GGA-PBE calculation of crystalline Pm6Pr2DyY3 at its relaxed geometry, from Alexandria.

## Properties
calculated formation energy	0.013	eV per atom

Unit cell a=6.3002 b=6.3002 c=12.0177 alpha=95.01 beta=95.01 gamma=120.00
With the nearest neighbours (Å) after each atom.
Positions (direct):
Pm (0.0841, 0.4162, 0.7525)  3 Y 3.60-3.61, 6 Pm 3.62-3.64, 1 Dy 3.65, 2 Pr 3.65
Pm (0.2480, 0.2480, 0.2472)  3 Y 3.60, 6 Pm 3.62-3.64, 1 Dy 3.65, 2 Pr 3.66
Pm (0.4162, 0.0841, 0.7525)  3 Y 3.60-3.61, 6 Pm 3.62-3.64, 1 Dy 3.65, 2 Pr 3.65
Pm (0.5838, 0.9159, 0.2475)  3 Y 3.60-3.61, 6 Pm 3.62-3.64, 1 Dy 3.65, 2 Pr 3.65
Pm (0.7520, 0.7520, 0.7528)  3 Y 3.60, 6 Pm 3.62-3.64, 1 Dy 3.65, 2 Pr 3.66
Pm (0.9159, 0.5838, 0.2475)  3 Y 3.60-3.61, 6 Pm 3.62-3.64, 1 Dy 3.65, 2 Pr 3.65
Pr (0.3333, 0.6667, 0.5000)  3 Dy 3.64, 3 Pr 3.64, 6 Pm 3.65-3.66
Pr (0.6667, 0.3333, 0.5000)  3 Dy 3.64, 3 Pr 3.64, 6 Pm 3.65-3.66
Dy (0.0000, 0.0000, 0.5000)  6 Pr 3.64, 6 Pm 3.65
Y (0.1664, 0.8336, 0.0000)  6 Pm 3.60-3.61, 6 Y 3.63-3.64
Y (0.5000, 0.5000, 0.0000)  6 Pm 3.60, 6 Y 3.64
Y (0.8336, 0.1664, 0.0000)  6 Pm 3.60-3.61, 6 Y 3.63-3.64

---

No. 5
The following is a GGA-PBE calculation of crystalline Pm3Pr6DyY2 at its relaxed geometry, from Alexandria.

## Properties
calculated formation energy	0.011	eV per atom

Unit cell a=6.3623 b=6.3623 c=12.0480 alpha=95.04 beta=95.04 gamma=120.02
With the nearest neighbours (Å) after each atom.
Positions (direct):
Pm (0.0000, 0.0000, 0.0000)  6 Pr 3.67, 6 Pm 3.67
Pm (0.3333, 0.6667, 0.0000)  6 Pr 3.67, 6 Pm 3.67
Pm (0.6667, 0.3333, 0.0000)  6 Pr 3.67, 6 Pm 3.67
Pr (0.0847, 0.4172, 0.2525)  1 Dy 3.62, 2 Y 3.62, 6 Pr 3.66-3.68, 3 Pm 3.67
Pr (0.2503, 0.2503, 0.7475)  1 Dy 3.62, 2 Y 3.62, 6 Pr 3.66-3.68, 3 Pm 3.67
Pr (0.4172, 0.0847, 0.2525)  1 Dy 3.62, 2 Y 3.62, 6 Pr 3.66-3.68, 3 Pm 3.67
Pr (0.5828, 0.9153, 0.7475)  1 Dy 3.62, 2 Y 3.62, 6 Pr 3.66-3.68, 3 Pm 3.67
Pr (0.7497, 0.7497, 0.2525)  1 Dy 3.62, 2 Y 3.62, 6 Pr 3.66-3.68, 3 Pm 3.67
Pr (0.9153, 0.5828, 0.7475)  1 Dy 3.62, 2 Y 3.62, 6 Pr 3.66-3.68, 3 Pm 3.67
Dy (0.5000, 0.5000, 0.5000)  6 Pr 3.62, 6 Y 3.67
Y (0.1666, 0.8334, 0.5000)  6 Pr 3.62, 3 Dy 3.67, 3 Y 3.67
Y (0.8334, 0.1666, 0.5000)  6 Pr 3.62, 3 Dy 3.67, 3 Y 3.67

---

No. 6
The following is a GGA-PBE calculation of crystalline PmPr2Dy2Y4 at its relaxed geometry, from Alexandria.

## Properties
calculated formation energy	-0.005	eV per atom

Unit cell a=9.6116 b=9.6116 c=9.6566 alpha=115.23 beta=115.23 gamma=21.82
With the nearest neighbours (Å) after each atom.
Positions (direct):
Pm (0.0000, 0.0000, 0.0000)  6 Y 3.60, 4 Pr 3.63, 2 Pm 3.64
Pr (0.3340, 0.3340, 0.0020)  3 Y 3.59-3.61, 3 Dy 3.59-3.62, 2 Pm 3.63, 4 Pr 3.64
Pr (0.6660, 0.6660, 0.9980)  3 Y 3.59-3.61, 3 Dy 3.59-3.62, 2 Pm 3.63, 4 Pr 3.64
Dy (0.1475, 0.1475, 0.6630)  7 Y 3.53-3.64, 3 Pr 3.59-3.62, 2 Dy 3.64
Dy (0.8525, 0.8525, 0.3370)  7 Y 3.53-3.64, 3 Pr 3.59-3.62, 2 Dy 3.64
Y (0.1861, 0.1861, 0.3361)  3 Dy 3.53-3.63, 6 Y 3.54-3.64, 1 Pm 3.60, 2 Pr 3.61
Y (0.4805, 0.4805, 0.6632)  4 Dy 3.53-3.64, 5 Y 3.54-3.64, 1 Pr 3.59, 2 Pm 3.60
Y (0.5195, 0.5195, 0.3368)  4 Dy 3.53-3.64, 5 Y 3.54-3.64, 1 Pr 3.59, 2 Pm 3.60
Y (0.8139, 0.8139, 0.6639)  3 Dy 3.53-3.63, 6 Y 3.54-3.64, 1 Pm 3.60, 2 Pr 3.61